VASP calculation (PBE) on crystalline KCa2Se2 at its relaxed geometry.

Lattice parameters (Å, degrees): 8.363 8.363 4.014 90.00 90.00 90.00
Element x y z (fractional)
K  0.000  0.000  0.000
K  0.500  0.500  0.000
Ca  0.151  0.349  0.500
Ca  0.349  0.849  0.500
Ca  0.651  0.151  0.500
Ca  0.849  0.651  0.500
Se  0.151  0.651  0.000
Se  0.349  0.151  0.000
Se  0.651  0.849  0.000
Se  0.849  0.349  0.000

Offset from the most stable computed form   4.3 kJ/mol of atoms
Energy   -37.009 eV per cell
Formation energy without anion corrections   -1.29 eV per atom
Space-group type   No. 127

---

VASP calculation (PBE) on crystalline Ca2TbCl6 at its relaxed geometry.

Lattice parameters (Å, degrees): 6.638 6.638 11.859 90.00 90.00 90.00
Element x y z (fractional)
Ca  0.000  0.000  0.176
Ca  0.000  0.000  0.824
Ca  0.500  0.500  0.324
Ca  0.500  0.500  0.676
Tb  0.000  0.000  0.500
Tb  0.500  0.500  0.000
Cl  0.205  0.205  0.000
Cl  0.207  0.207  0.338
Cl  0.207  0.207  0.662
Cl  0.293  0.707  0.162
Cl  0.293  0.707  0.838
Cl  0.295  0.705  0.500
Cl  0.705  0.295  0.500
Cl  0.707  0.293  0.162
Cl  0.707  0.293  0.838
Cl  0.793  0.793  0.338
Cl  0.793  0.793  0.662
Cl  0.795  0.795  0.000

Energy   -78.453 eV per cell
Formation energy without anion corrections   -2.17 eV per atom
Space-group type   No. 136